! SrTb2S (GGA-PBE, optimized geometry); values from VASP
! raw formation energy	-0.7821	eV/atom
! raw total energy	-4.550	eV per atom
&SYSTEM
  ibrav = 0, nat = 4, ntyp = 3
/
ATOMIC_SPECIES
S 32.06 S.upf
Tb 158.93 Tb.upf
Sr 87.62 Sr.upf
ATOMIC_POSITIONS crystal
S 0.500 0.500 0.500
Tb 0.884 0.884 0.348
Tb 0.116 0.116 0.652
Sr 0.000 0.000 0.000
CELL_PARAMETERS angstrom
3.851 0.000 0.000
1.925 3.335 0.000
1.925 1.112 10.163



! Mn2ReOs (GGA-PBE, optimized geometry); values from VASP
! raw total energy	-10.394	eV per atom
&SYSTEM
  ibrav = 0, nat = 4, ntyp = 3
/
ATOMIC_SPECIES
Re 186.21 Re.upf
Os 190.23 Os.upf
Mn 54.94 Mn.upf
ATOMIC_POSITIONS crystal
Re 0.245 0.745 0.500
Os 0.505 0.505 0.000
Mn 0.755 0.255 0.500
Mn 0.995 0.995 0.000
CELL_PARAMETERS angstrom
-3.346 -1.161 3.495
-2.207 -4.450 -0.304
4.373 2.345 0.373



! ScCuP2 (GGA-PBE, optimized geometry); values from VASP
! raw total energy	-5.526	eV per atom
&SYSTEM
  ibrav = 0, nat = 8, ntyp = 3
/
ATOMIC_SPECIES
Cu 63.55 Cu.upf
P 30.97 P.upf
Sc 44.96 Sc.upf
ATOMIC_POSITIONS crystal
Cu 0.299 0.701 0.750
Cu 0.701 0.299 0.250
P 0.702 0.298 0.390
P 0.298 0.702 0.890
P 0.702 0.298 0.110
P 0.298 0.702 0.610
Sc 0.000 0.000 0.500
Sc 0.000 0.000 0.000
CELL_PARAMETERS angstrom
1.499 -3.370 0.000
1.499 3.370 0.000
0.000 0.000 15.624